[1]
Ce5Tl2Sn after structural relaxation, computed with PBE.

Calculated values
ΔE_f: -24 kJ/mol of atoms
Uncorrected energy: -80.7 eV per cell
Distance to the lowest polymorph of the same formula: 0.26 eV/f.u.

a = 8.0765 Å, b = 8.0765 Å, c = 6.9574 Å
α = 90.00°, β = 90.00°, γ = 90.00°
With the nearest neighbours (Å) after each atom.
Space group I4/mmm (No. 139)
Symmetry-distinct sites (fractional):
Ce (0.0000, 0.0000, 0.0000)  8 Ce 3.34, 2 Sn 3.48
Ce (0.2500, 0.2500, 0.2500)  4 Ce 3.34-3.48, 4 Tl 3.34, 2 Sn 3.34
Tl (0.0000, 0.5000, 0.0000)  8 Ce 3.34, 2 Tl 3.48
Sn (0.0000, 0.0000, 0.5000)  10 Ce 3.34-3.48

[2]
SiH3Se after structural relaxation, computed with PBE.

Calculated values
Uncorrected energy: -36.7 eV per cell
Distance to the lowest polymorph of the same formula: 0.91 eV/f.u.

a = 4.6078 Å, b = 5.0250 Å, c = 6.8503 Å
α = 93.24°, β = 90.31°, γ = 90.47°
With the nearest neighbours (Å) after each atom.
Space group P1 (No. 1)
Symmetry-distinct sites (fractional):
Si (0.0000, 0.0000, 0.0000)  3 H 1.49-1.61
Si (0.1741, 0.5072, 0.5041)  3 H 1.49-1.62
H (0.0383, 0.2937, 0.0470)  1 Si 1.50
H (0.1378, 0.8022, 0.5396)  1 Si 1.50
H (0.1881, 0.3658, 0.6890)  1 Si 1.49
H (0.2993, 0.9207, 0.8917)  1 Si 1.61
H (0.8710, 0.4186, 0.3964)  1 Si 1.62
H (0.9818, 0.8477, 0.1798)  1 Si 1.49
Se (0.5010, 0.3921, 0.2761)  1 H 1.89
Se (0.6700, 0.9018, 0.7677)  1 H 1.91

[3]
SiSeCl2 after structural relaxation, computed with PBE.

Calculated values
Uncorrected formation energy: 1.9 kJ per mole of atoms
Uncorrected energy: -25.0 eV per cell
Distance to the lowest polymorph of the same formula: 1.31 eV/f.u.

a = 12.7562 Å, b = 3.4113 Å, c = 5.2914 Å
α = 90.00°, β = 94.37°, γ = 90.00°
With the nearest neighbours (Å) after each atom.
Space group Cm (No. 8)
Symmetry-distinct sites (fractional):
Si (0.0000, 0.0000, 0.0000)  2 Se 2.47, 2 Cl 2.61
Se (0.3624, 0.0000, 0.9037)  2 Si 2.47, 3 Cl 2.60-2.72
Cl (0.0252, 0.5000, 0.6352)  1 Se 2.60, 2 Si 2.61
Cl (0.2621, 0.5000, 0.2048)  2 Se 2.72